DFT (PBE) results for crystalline Cs3Sm2NpS6 at its relaxed geometry.

Unit cell a=7.261 b=7.261 c=8.431 alpha=98.24 beta=98.24 gamma=119.98
Site moments in Bohr magnetons follow the coordinates.
Fractional positions:
S  0.939  0.608  0.817  -0.02
S  0.392  0.061  0.183  -0.02
Cs  0.832  0.168  0.500  0.00
S  0.608  0.939  0.817  -0.02
Cs  0.500  0.500  0.500  0.00
Np  0.000  0.000  0.000  3.83
Sm  0.334  0.666  0.000  0.04
Cs  0.168  0.832  0.500  0.00
S  0.731  0.731  0.185  -0.02
S  0.269  0.269  0.815  -0.02
Sm  0.666  0.334  0.000  0.04
S  0.061  0.392  0.183  -0.02

Total DFT energy (no corrections) = -69.5 eV per cell
Formation energy without anion corrections = -159.07 kJ/mol of atoms
Calculated density = 5.08 g/cm³

DFT (PBE) results for crystalline MnCrSb2 at its relaxed geometry.

Unit cell a=5.703 b=5.703 c=5.703 alpha=138.26 beta=138.31 gamma=60.47
Site moments in Bohr magnetons follow the coordinates.
Fractional positions:
Mn  0.750  0.250  0.500  3.70
Cr  0.500  0.500  0.000  3.47
Sb  0.250  0.750  0.500  -0.07
Sb  0.000  0.000  0.000  -0.07

Total DFT energy (no corrections) = -25.7 eV per cell
Formation energy without anion corrections = 32.37 kJ/mol of atoms
Calculated density = 7.16 g/cm³

DFT (PBE) results for crystalline Cu2OsSe at its relaxed geometry.

Unit cell a=4.677 b=4.677 c=4.677 alpha=131.74 beta=131.74 gamma=70.64
Fractional positions:
Os  0.500  0.500  0.000
Se  0.750  0.250  0.500
Cu  0.000  0.000  0.000
Cu  0.250  0.750  0.500

Total DFT energy (no corrections) = -20.8 eV per cell
Formation energy without anion corrections = 51.51 kJ/mol of atoms
Calculated density = 11.79 g/cm³

DFT (PBE) results for crystalline ScTa2ReAg at its relaxed geometry.

Unit cell a=4.671 b=4.643 c=4.671 alpha=90.00 beta=90.00 gamma=90.00
Fractional positions:
Ta  0.500  0.000  0.000
Ag  0.000  0.500  0.000
Ta  0.000  0.000  0.500
Sc  0.000  0.000  0.000
Re  0.500  0.500  0.500

Total DFT energy (no corrections) = -34.5 eV per cell
Calculated density = 11.49 g/cm³
Energy of formation from the pure elements = 2168 meV/atom

DFT (PBE) results for crystalline K2FeAs at its relaxed geometry.

Unit cell a=6.190 b=6.190 c=6.190 alpha=137.90 beta=122.82 gamma=73.50
Site moments in Bohr magnetons follow the coordinates.
Fractional positions:
As  0.411  0.411  0.000  0.02
K  0.710  0.210  0.500  0.00
Fe  0.347  0.847  0.500  2.73
K  0.031  0.031  0.000  0.00

Total DFT energy (no corrections) = -15.1 eV per cell
Calculated density = 2.66 g/cm³
Energy of formation from the pure elements = 50 meV/atom

DFT (PBE) results for crystalline Er2Ga5Au3 at its relaxed geometry.

Unit cell a=4.386 b=7.037 c=12.687 alpha=90.00 beta=99.95 gamma=90.00
Fractional positions:
Ga  0.707  0.430  0.415
Au  0.051  0.961  0.103
Ga  0.604  0.904  0.208
Au  0.607  0.516  0.214
Au  0.223  0.223  0.447
Ga  0.294  0.519  0.589
Au  0.777  0.723  0.553
Ga  0.950  0.072  0.900
Ga  0.118  0.261  0.235
Ga  0.396  0.404  0.792
Er  0.483  0.746  0.965
Er  0.174  0.732  0.348
Ga  0.293  0.930  0.585
Er  0.826  0.232  0.652
Ga  0.882  0.761  0.765
Ga  0.706  0.019  0.411
Au  0.949  0.461  0.897
Ga  0.050  0.572  0.100
Au  0.393  0.016  0.786
Er  0.517  0.246  0.035

Total DFT energy (no corrections) = -79.9 eV per cell
Calculated density = 10.97 g/cm³
Energy of formation from the pure elements = -585 meV/atom

DFT (PBE) results for crystalline Na3HoF6 at its relaxed geometry.

Unit cell a=3.947 b=6.119 c=11.587 alpha=90.00 beta=90.00 gamma=90.00
Fractional positions:
Ho  0.500  0.500  0.500
F  0.500  0.164  0.939
Na  0.000  0.563  0.240
Na  0.500  0.063  0.260
F  0.500  0.836  0.061
F  0.000  0.664  0.561
F  0.500  0.567  0.696
F  0.000  0.330  0.084
F  0.500  0.433  0.304
F  0.000  0.933  0.196
Na  0.000  0.437  0.760
F  0.000  0.067  0.804
Na  0.500  0.937  0.740
Ho  0.000  0.000  0.000
Na  0.500  0.500  0.000
F  0.500  0.830  0.416
F  0.500  0.170  0.584
Na  0.000  0.000  0.500
F  0.000  0.670  0.916
F  0.000  0.336  0.439

Total DFT energy (no corrections) = -104.6 eV per cell
Formation energy without anion corrections = -314.08 kJ/mol of atoms
Calculated density = 4.13 g/cm³

DFT (PBE) results for crystalline TcSb2Pt at its relaxed geometry.

Unit cell a=4.575 b=4.575 c=5.460 alpha=78.64 beta=78.64 gamma=43.23
Fractional positions:
Tc  0.750  0.750  0.750
Sb  0.492  0.492  0.514
Pt  0.250  0.250  0.250
Sb  0.008  0.008  0.986

Total DFT energy (no corrections) = -24.2 eV per cell
Formation energy without anion corrections = 11.33 kJ/mol of atoms
Calculated density = 11.65 g/cm³

DFT (PBE) results for crystalline TbPuIn at its relaxed geometry.

Unit cell a=3.561 b=3.561 c=7.098 alpha=104.53 beta=104.53 gamma=90.00
Site moments in Bohr magnetons follow the coordinates.
Fractional positions:
In  0.618  0.618  0.236  -0.01
Pu  0.958  0.958  0.915  5.59
Tb  0.275  0.275  0.549  0.22

Total DFT energy (no corrections) = -22.0 eV per cell
Calculated density = 10.22 g/cm³
Energy of formation from the pure elements = -109 meV/atom

DFT (PBE) results for crystalline Zn3SnGe at its relaxed geometry.

Unit cell a=4.871 b=4.871 c=4.871 alpha=90.00 beta=90.00 gamma=90.00
Fractional positions:
Zn  0.500  0.000  0.000
Ge  0.000  0.000  0.000
Zn  0.000  0.000  0.500
Zn  0.000  0.500  0.000
Sn  0.500  0.500  0.500

Total DFT energy (no corrections) = -10.3 eV per cell
Calculated density = 5.57 g/cm³
Energy of formation from the pure elements = 428 meV/atom

DFT (PBE) results for crystalline TaGaCuOs at its relaxed geometry.

Unit cell a=4.390 b=4.390 c=4.390 alpha=60.00 beta=60.00 gamma=60.00
Fractional positions:
Ga  0.500  0.500  0.500
Ta  0.000  0.000  0.000
Cu  0.250  0.250  0.250
Os  0.750  0.750  0.750

Total DFT energy (no corrections) = -30.6 eV per cell
Calculated density = 14.00 g/cm³
Energy of formation from the pure elements = -99 meV/atom

DFT (PBE) results for crystalline YZnSi2 at its relaxed geometry.

Unit cell a=4.552 b=3.109 c=5.205 alpha=89.99 beta=90.00 gamma=90.00
Fractional positions:
Si  0.500  0.000  0.257
Si  0.000  0.000  0.995
Y  0.000  0.500  0.490
Zn  0.500  0.000  0.758

Total DFT energy (no corrections) = -19.3 eV per cell
Formation energy without anion corrections = -17.32 kJ/mol of atoms
Calculated density = 4.74 g/cm³